(1)
Material: Tm5Cd2Tc2
Method: DFT, PBE
State: relaxed

Summary:
Space-group type ... Cmce, No. 64
Energy relative to the elements ... -0.1666 eV per atom

The structure in extended XYZ format:
```
18
Lattice="8.4183 -3.6100 0.0000 8.4183 3.6100 0.0000 0.0000 0.0000 7.3866" Properties=species:S:1:pos:R:3 pbc="T T T"
Tm 0.0000 0.0000 0.0000
Tm 6.3774 2.3060 5.0383
Tm 6.3774 1.3040 1.3450
Tm 10.4592 2.3060 5.0383
Tm 10.4592 1.3040 1.3450
Tm 8.4183 0.0000 3.6933
Tm 6.3774 -1.3040 6.0416
Tm 6.3774 -2.3060 2.3483
Tm 10.4592 -1.3040 6.0416
Tm 10.4592 -2.3060 2.3483
Cd 3.8076 0.0000 0.0000
Cd 4.6107 0.0000 3.6933
Cd 12.2259 0.0000 3.6933
Cd 13.0290 0.0000 0.0000
Tc 8.4183 2.8008 2.8014
Tc 8.4183 0.8092 6.4947
Tc 8.4183 -0.8092 0.8919
Tc 8.4183 -2.8008 4.5852
```

(2)
Material: Tm3Cd2Tc
Method: DFT, PBE
State: relaxed

Summary:
Space-group type ... Cmmm, No. 65
Energy relative to the elements ... -0.2574 eV per atom

The structure in extended XYZ format:
```
12
Lattice="2.5059 -7.4652 0.0000 2.5059 7.4652 0.0000 0.0000 0.0000 7.4489" Properties=species:S:1:pos:R:3 pbc="T T T"
Tm 0.0000 0.0000 1.7062
Tm 0.0000 0.0000 5.7427
Tm 2.5059 2.6072 1.6440
Tm 2.5059 2.6072 5.8049
Tm 2.5059 -2.6072 1.6440
Tm 2.5059 -2.6072 5.8049
Cd 2.5059 4.9965 3.7245
Cd 2.5059 0.0000 0.0000
Cd 2.5059 0.0000 3.7245
Cd 2.5059 -4.9965 3.7245
Tc 2.5059 5.0400 0.0000
Tc 2.5059 -5.0400 0.0000
```

(3)
Material: TmCdTc
Method: DFT, PBE
State: relaxed

Summary:
Space-group type ... C2/m, No. 12
Energy relative to the elements ... -0.0261 eV per atom

The structure in extended XYZ format:
```
6
Lattice="6.0421 -2.1586 0.0000 6.0421 2.1586 0.0000 -0.8582 0.0000 5.1884" Properties=species:S:1:pos:R:3 pbc="T T T"
Tm 1.2769 0.0000 1.7339
Tm 9.9490 0.0000 3.4544
Cd 4.9969 0.0000 1.2169
Cd 6.2290 0.0000 3.9714
Tc 1.9576 0.0000 4.6315
Tc 9.2683 0.0000 0.5568
```

(4)
Material: UCdTc2
Method: DFT, PBE
State: relaxed

Summary:
Space-group type ... P4/mmm, No. 123
Energy relative to the elements ... 0.0659 eV per atom

The structure in extended XYZ format:
```
4
Lattice="4.4363 0.0000 0.0000 0.0000 4.4363 0.0000 0.0000 0.0000 3.5838" Properties=species:S:1:pos:R:3 pbc="T T T"
U 0.0000 0.0000 0.0000
Cd 2.2181 2.2181 0.0000
Tc 0.0000 2.2181 1.7919
Tc 2.2181 0.0000 1.7919
```

(5)
Material: V2CdTc
Method: DFT, PBE
State: relaxed

Summary:
Space-group type ... I-42d, No. 122
Energy relative to the elements ... 0.6010 eV per atom

The structure in extended XYZ format:
```
8
Lattice="-3.5239 3.5239 2.7186 3.5239 -3.5239 2.7186 3.5239 3.5239 -2.7186" Properties=species:S:1:pos:R:3 pbc="T T T"
V 5.2859 1.4550 -0.6796
V 1.4550 1.7620 0.6796
V -1.7620 2.0689 2.0389
V 2.0689 1.7620 3.3982
Cd 3.5239 0.0000 1.3593
Cd 0.0000 0.0000 2.7186
Tc 0.0000 0.0000 0.0000
Tc 0.0000 3.5239 1.3593
```

(6)
Material: VCdTc
Method: DFT, PBE
State: relaxed

Summary:
Space-group type ... P-1, No. 2
Energy relative to the elements ... 0.3039 eV per atom

The structure in extended XYZ format:
```
6
Lattice="4.2123 0.0000 0.0000 -2.0996 3.6636 0.0000 -2.1012 -1.2181 6.9636" Properties=species:S:1:pos:R:3 pbc="T T T"
V 0.0013 1.2223 0.5757
V 0.0101 1.2232 6.3880
Cd -2.0967 2.4399 2.6411
Cd 2.1082 0.0056 4.3225
Tc -2.0963 2.4429 5.7748
Tc 2.1078 0.0026 1.1888
```

(7)
Material: VCdTc2
Method: DFT, PBE
State: relaxed

Summary:
Space-group type ... I-42d, No. 122
Energy relative to the elements ... 0.8018 eV per atom

The structure in extended XYZ format:
```
8
Lattice="-1.9593 1.9593 9.2296 1.9593 -1.9593 9.2296 1.9593 1.9593 -9.2296" Properties=species:S:1:pos:R:3 pbc="T T T"
V 0.0000 0.0000 0.0000
V 0.0000 1.9593 4.6148
Cd 1.9593 0.0000 4.6148
Cd 0.0000 0.0000 9.2296
Tc 2.9389 0.6945 -2.3074
Tc 0.6945 0.9796 2.3074
Tc -0.9796 1.2648 6.9222
Tc 1.2648 0.9796 11.5370
```

(8)
Material: VCd2Tc
Method: DFT, PBE
State: relaxed

Summary:
Space-group type ... Fm-3m, No. 225
Energy relative to the elements ... 0.5832 eV per atom

The structure in extended XYZ format:
```
4
Lattice="0.0000 3.2870 3.2870 3.2870 0.0000 3.2870 3.2870 3.2870 0.0000" Properties=species:S:1:pos:R:3 pbc="T T T"
V 0.0000 0.0000 0.0000
Cd 1.6435 1.6435 1.6435
Cd 4.9306 4.9306 4.9306
Tc 3.2870 3.2870 3.2870
```

(9)
Material: V2CdTc2
Method: DFT, PBE
State: relaxed

Summary:
Space-group type ... P4/mbm, No. 127
Energy relative to the elements ... 0.1765 eV per atom

The structure in extended XYZ format:
```
10
Lattice="7.3477 0.0000 0.0000 0.0000 7.3477 0.0000 0.0000 0.0000 2.8861" Properties=species:S:1:pos:R:3 pbc="T T T"
V 1.0163 2.6576 0.0000
V 2.6576 6.3314 0.0000
V 4.6902 1.0163 0.0000
V 6.3314 4.6902 0.0000
Cd 0.0000 0.0000 0.0000
Cd 3.6739 3.6739 0.0000
Tc 1.1497 4.8235 1.4431
Tc 2.5242 1.1497 1.4431
Tc 4.8235 6.1981 1.4431
Tc 6.1981 2.5242 1.4431
```

(10)
Material: V2CdTc
Method: DFT, PBE
State: relaxed

Summary:
Space-group type ... P4/mmm, No. 123
Energy relative to the elements ... 0.0654 eV per atom

The structure in extended XYZ format:
```
4
Lattice="3.0773 0.0000 0.0000 0.0000 3.0773 0.0000 0.0000 0.0000 6.5718" Properties=species:S:1:pos:R:3 pbc="T T T"
V 0.0000 0.0000 1.3869
V 0.0000 0.0000 5.1848
Cd 1.5386 1.5386 3.2859
Tc 1.5386 1.5386 0.0000
```

(11)
Material: VCd2Tc
Method: DFT, PBE
State: relaxed

Summary:
Space-group type ... I-42d, No. 122
Energy relative to the elements ... 0.8909 eV per atom

The structure in extended XYZ format:
```
8
Lattice="-3.8045 3.8045 2.6734 3.8045 -3.8045 2.6734 3.8045 3.8045 -2.6734" Properties=species:S:1:pos:R:3 pbc="T T T"
V 0.0000 0.0000 0.0000
V 0.0000 3.8045 1.3367
Cd 1.9023 1.9356 -0.6683
Cd 5.6735 1.9023 0.6683
Cd 1.9023 1.8689 2.0050
Cd -1.8689 1.9023 3.3417
Tc 3.8045 0.0000 1.3367
Tc 0.0000 0.0000 2.6734
```

(12)
Material: Cd3TcW
Method: DFT, PBE
State: relaxed

Summary:
Space-group type ... Pm-3m, No. 221
Energy relative to the elements ... 1.9504 eV per atom

The structure in extended XYZ format:
```
5
Lattice="5.1113 0.0000 0.0000 0.0000 5.1113 0.0000 0.0000 0.0000 5.1113" Properties=species:S:1:pos:R:3 pbc="T T T"
Cd 0.0000 0.0000 2.5556
Cd 0.0000 2.5556 0.0000
Cd 2.5556 0.0000 0.0000
Tc 0.0000 0.0000 0.0000
W 2.5556 2.5556 2.5556
```

(13)
Material: CdTcW2
Method: DFT, PBE
State: relaxed

Summary:
Space-group type ... Pm, No. 6
Energy relative to the elements ... 0.4562 eV per atom

The structure in extended XYZ format:
```
4
Lattice="2.7383 0.0000 0.0000 0.0000 4.4380 0.0000 -1.2321 0.0000 5.4609" Properties=species:S:1:pos:R:3 pbc="T T T"
Cd 0.0000 0.0000 0.0000
Tc 1.6853 2.2190 1.4015
W -0.0707 2.2190 4.0345
W 0.8700 0.0000 2.6901
```

(14)
Material: CdTcW2
Method: DFT, PBE
State: relaxed

Summary:
Space-group type ... Cmm2, No. 35
Energy relative to the elements ... 0.2913 eV per atom

The structure in extended XYZ format:
```
4
Lattice="1.5963 -2.2616 0.0000 1.5963 2.2616 0.0000 0.0000 0.0000 9.2998" Properties=species:S:1:pos:R:3 pbc="T T T"
Cd 0.0000 0.0000 0.0000
Tc 1.5963 0.0000 2.4599
W 0.0000 0.0000 4.5776
W 1.5963 0.0000 6.7781
```

(15)
Material: CdTcW2
Method: DFT, PBE
State: relaxed

Summary:
Space-group type ... Cm, No. 8
Energy relative to the elements ... 0.4983 eV per atom

The structure in extended XYZ format:
```
4
Lattice="4.8395 -1.5162 0.0000 4.8395 1.5162 0.0000 -1.4554 0.0000 4.5669" Properties=species:S:1:pos:R:3 pbc="T T T"
Cd 0.0000 0.0000 0.0000
Tc 1.2049 0.0000 3.3837
W 4.2000 0.0000 2.3229
W 7.0454 0.0000 1.2904
```

(16)
Material: CdTcW
Method: DFT, PBE
State: relaxed

Summary:
Space-group type ... P3m1, No. 156
Energy relative to the elements ... 0.3717 eV per atom

The structure in extended XYZ format:
```
3
Lattice="2.9110 0.0000 0.0000 -1.4555 2.5210 0.0000 0.0000 0.0000 7.0188" Properties=species:S:1:pos:R:3 pbc="T T T"
Cd 0.0000 0.0000 0.0000
Tc 0.0000 1.6807 2.4764
W 1.4555 0.8403 4.4572
```

(17)
Material: CdTcW2
Method: DFT, PBE
State: relaxed

Summary:
Space-group type ... Cmmm, No. 65
Energy relative to the elements ... 0.3867 eV per atom

The structure in extended XYZ format:
```
4
Lattice="1.5858 -2.2567 0.0000 1.5858 2.2567 0.0000 0.0000 0.0000 9.3723" Properties=species:S:1:pos:R:3 pbc="T T T"
Cd 0.0000 0.0000 0.0000
Tc 0.0000 0.0000 4.6861
W 1.5858 0.0000 2.5316
W 1.5858 0.0000 6.8407
```

(18)
Material: CdTcW
Method: DFT, PBE
State: relaxed

Summary:
Space-group type ... I4mm, No. 107
Energy relative to the elements ... 0.3399 eV per atom

The structure in extended XYZ format:
```
3
Lattice="-1.5843 1.5843 5.1840 1.5843 -1.5843 5.1840 1.5843 1.5843 -5.1840" Properties=species:S:1:pos:R:3 pbc="T T T"
Cd 0.0000 0.0000 0.0000
Tc 0.0000 0.0000 3.2600
W 0.0000 0.0000 7.1623
```

(19)
Material: CdTcW2
Method: DFT, PBE
State: relaxed

Summary:
Space-group type ... I-42d, No. 122
Energy relative to the elements ... 1.0069 eV per atom

The structure in extended XYZ format:
```
8
Lattice="-3.7212 3.7212 2.7020 3.7212 -3.7212 2.7020 3.7212 3.7212 -2.7020" Properties=species:S:1:pos:R:3 pbc="T T T"
Cd 0.0000 0.0000 0.0000
Cd 0.0000 3.7212 1.3510
Tc 3.7212 0.0000 1.3510
Tc 0.0000 0.0000 2.7020
W 1.8606 -1.4895 2.0265
W 2.2316 1.8606 0.6755
W 1.8606 5.2107 -0.6755
W 1.4895 1.8606 3.3775
```

(20)
Material: CdTcW2
Method: DFT, PBE
State: relaxed

Summary:
Space-group type ... C2/m, No. 12
Energy relative to the elements ... 0.5141 eV per atom

The structure in extended XYZ format:
```
4
Lattice="2.7682 -4.5567 0.0000 2.7682 4.5567 0.0000 -0.7838 0.0000 2.6156" Properties=species:S:1:pos:R:3 pbc="T T T"
Cd 0.0000 0.0000 0.0000
Tc 2.7682 0.0000 0.0000
W 0.9922 2.2784 1.3078
W 0.9922 -2.2784 1.3078
```

(21)
Material: CdTcW2
Method: DFT, PBE
State: relaxed

Summary:
Space-group type ... Immm, No. 71
Energy relative to the elements ... 0.4431 eV per atom

The structure in extended XYZ format:
```
4
Lattice="-1.5939 2.2589 4.6092 1.5939 -2.2589 4.6092 1.5939 2.2589 -4.6092" Properties=species:S:1:pos:R:3 pbc="T T T"
Cd 0.0000 0.0000 0.0000
Tc 0.0000 0.0000 4.6092
W 1.5939 0.0000 2.4683
W 0.0000 2.2589 2.1409
```

(22)
Material: CdTcW2
Method: DFT, PBE
State: relaxed

Summary:
Space-group type ... I4/mmm, No. 139
Energy relative to the elements ... 0.5553 eV per atom

The structure in extended XYZ format:
```
4
Lattice="-1.9747 1.9747 4.2050 1.9747 -1.9747 4.2050 1.9747 1.9747 -4.2050" Properties=species:S:1:pos:R:3 pbc="T T T"
Cd 0.0000 0.0000 0.0000
Tc 0.0000 0.0000 4.2050
W 1.9747 0.0000 2.1025
W 0.0000 1.9747 2.1025
```

(23)
Material: CdTcW3
Method: DFT, PBE
State: relaxed

Summary:
Space-group type ... Pm-3m, No. 221
Energy relative to the elements ... 1.8428 eV per atom

The structure in extended XYZ format:
```
5
Lattice="4.7387 0.0000 0.0000 0.0000 4.7387 0.0000 0.0000 0.0000 4.7387" Properties=species:S:1:pos:R:3 pbc="T T T"
Cd 0.0000 0.0000 0.0000
Tc 2.3693 2.3693 2.3693
W 0.0000 2.3693 2.3693
W 2.3693 0.0000 2.3693
W 2.3693 2.3693 0.0000
```

(24)
Material: CdTcW
Method: DFT, PBE
State: relaxed

Summary:
Space-group type ... Imm2, No. 44
Energy relative to the elements ... 0.4950 eV per atom

The structure in extended XYZ format:
```
3
Lattice="-1.4068 2.0554 4.2980 1.4068 -2.0554 4.2980 1.4068 2.0554 -4.2980" Properties=species:S:1:pos:R:3 pbc="T T T"
Cd 0.0000 0.0000 0.0000
Tc 0.0000 0.0000 5.7736
W 0.0000 0.0000 2.7972
```

(25)
Material: CdTc4W
Method: DFT, PBE
State: relaxed

Summary:
Space-group type ... F-43m, No. 216
Energy relative to the elements ... 0.3472 eV per atom

The structure in extended XYZ format:
```
6
Lattice="0.0000 3.6409 3.6409 3.6409 0.0000 3.6409 3.6409 3.6409 0.0000" Properties=species:S:1:pos:R:3 pbc="T T T"
Cd 0.0000 0.0000 0.0000
Tc 4.5551 2.7267 2.7267
Tc 2.7267 4.5551 2.7267
Tc 2.7267 2.7267 4.5551
Tc 4.5551 4.5551 4.5551
W 1.8205 1.8205 1.8205
```

(26)
Material: CdTcW2
Method: DFT, PBE
State: relaxed

Summary:
Space-group type ... Imm2, No. 44
Energy relative to the elements ... 0.4934 eV per atom

The structure in extended XYZ format:
```
4
Lattice="-1.5867 2.3088 4.5571 1.5867 -2.3088 4.5571 1.5867 2.3088 -4.5571" Properties=species:S:1:pos:R:3 pbc="T T T"
Cd 0.0000 0.0000 0.0000
Tc 1.5867 0.0000 2.4146
W 0.0000 0.0000 4.5241
W 0.0000 2.3088 2.0922
```

(27)
Material: CdTcW2
Method: DFT, PBE
State: relaxed

Summary:
Space-group type ... R3m, No. 160
Energy relative to the elements ... 0.3995 eV per atom

The structure in extended XYZ format:
```
4
Lattice="1.4366 0.8294 9.4358 -1.4366 0.8294 9.4358 0.0000 -1.6589 9.4358" Properties=species:S:1:pos:R:3 pbc="T T T"
Cd 0.0000 0.0000 0.0000
Tc 0.0000 0.0000 21.3508
W 0.0000 0.0000 6.8711
W 0.0000 0.0000 13.9709
```

(28)
Material: CdTcW
Method: DFT, PBE
State: relaxed

Summary:
Space-group type ... Fmm2, No. 42
Energy relative to the elements ... 0.3783 eV per atom

The structure in extended XYZ format:
```
3
Lattice="0.0000 2.3081 7.1382 1.5622 0.0000 7.1382 1.5622 2.3081 0.0000" Properties=species:S:1:pos:R:3 pbc="T T T"
Cd 0.0000 0.0000 0.0000
Tc 1.5622 2.3081 9.6471
W 1.5622 2.3081 4.5613
```